LaCoCuP2: relaxed, PBE.

Lattice parameters (Å, degrees): 3.9273 3.9273 10.5526 90.00 90.00 90.00
Last column: nearest neighbours and their distance in Å.
Space group I-4m2 (No. 119)
Symmetry-distinct sites (fractional):
La: 0.0000 0.0000 0.0000 (multiplicity 2)  8 P 3.13, 4 Co 3.29, 4 Cu 3.29
Co: 0.0000 0.5000 0.2500 (multiplicity 2)  4 P 2.30
Cu: 0.0000 0.5000 0.7500 (multiplicity 2)  4 P 2.30
P: 0.0000 0.0000 0.3628 (multiplicity 4)  2 Co 2.30, 2 Cu 2.30

Calculated values
**Energy of formation from the pure elements**: -0.813 eV per atom
**Mass density**: 6.598 g cm⁻³
**Density of states at the Fermi level**: 0.762 states/eV/atom

---

NaHf2S: relaxed, PBE.

Lattice parameters (Å, degrees): 4.0639 4.0639 20.6065 90.00 90.00 90.00
Last column: nearest neighbours and their distance in Å.
Space group I-42d (No. 122)
Symmetry-distinct sites (fractional):
Na: 0.0000 0.0000 0.0000 (multiplicity 4)  4 S 2.87, 4 Hf 2.98
Hf: 0.2314 0.2500 0.6250 (multiplicity 8)  4 Hf 2.77-2.98, 2 S 2.92, 2 Na 2.98
S: 0.0000 0.0000 0.5000 (multiplicity 4)  4 Na 2.87, 4 Hf 2.92

Calculated values
**Mass density**: 8.042 g cm⁻³
**Density of states at the Fermi level**: 0.958 states/eV/atom
**Raw formation energy**: 272 meV per atom

---

La2MgZn4Au3: relaxed, PBE.

Lattice parameters (Å, degrees): 4.2319 4.2319 11.9460 90.00 90.00 90.00
Last column: nearest neighbours and their distance in Å.
Space group P-4m2 (No. 115)
Symmetry-distinct sites (fractional):
La: 0.0000 0.5000 0.2413 (multiplicity 2)  4 Au 3.24, 8 Zn 3.30-3.58
Mg: 0.0000 0.0000 0.5000 (multiplicity 1)  4 Zn 2.72, 4 Au 2.99
Zn: 0.0000 0.0000 0.0000 (multiplicity 1)  4 Au 2.68, 4 Zn 2.99
Zn: 0.0000 0.5000 0.6426 (multiplicity 2)  3 Au 2.62-2.72, 2 Mg 2.72
Zn: 0.5000 0.5000 0.0000 (multiplicity 1)  4 Au 2.68, 4 Zn 2.99
Au: 0.0000 0.5000 0.8619 (multiplicity 2)  5 Zn 2.62-2.68
Au: 0.5000 0.5000 0.5000 (multiplicity 1)  4 Zn 2.72, 4 Mg 2.99

Calculated values
**Energy of formation from the pure elements**: -0.526 eV per atom
**Mass density**: 8.962 g cm⁻³
**Density of states at the Fermi level**: 0.575 states/eV/atom

---

LiLaY2: relaxed, PBE.

Lattice parameters (Å, degrees): 3.5468 5.4212 6.7164 90.00 104.85 90.00
Last column: nearest neighbours and their distance in Å.
Space group P2/m (No. 10)
Symmetry-distinct sites (fractional):
Li: 0.0000 0.0000 0.0000 (multiplicity 1)  4 Y 3.27, 2 La 3.36, 2 Li 3.55
La: 0.0000 0.0000 0.5000 (multiplicity 1)  2 Li 3.36, 2 La 3.55, 8 Y 3.63-3.71
Y: 0.3940 0.5000 0.2353 (multiplicity 2)  2 Li 3.27, 5 Y 3.43-3.64, 2 La 3.63

Calculated values
**Energy of formation from the pure elements**: 0.136 eV per atom
**Polymorph energy (0 for the lowest one)**: 66 meV/atom
**Mass density**: 4.305 g cm⁻³
**Density of states at the Fermi level**: 1.476 states/eV/atom

---

What did the first record say?
LaCoCuP2: relaxed, PBE.

Lattice parameters (Å, degrees): 3.9273 3.9273 10.5526 90.00 90.00 90.00
Last column: nearest neighbours and their distance in Å.
Space group I-4m2 (No. 119)
Symmetry-distinct sites (fractional):
La: 0.0000 0.0000 0.0000 (multiplicity 2)  8 P 3.13, 4 Co 3.29, 4 Cu 3.29
Co: 0.0000 0.5000 0.2500 (multiplicity 2)  4 P 2.30
Cu: 0.0000 0.5000 0.7500 (multiplicity 2)  4 P 2.30
P: 0.0000 0.0000 0.3628 (multiplicity 4)  2 Co 2.30, 2 Cu 2.30

Calculated values
**Energy of formation from the pure elements**: -0.813 eV per atom
**Mass density**: 6.598 g cm⁻³
**Density of states at the Fermi level**: 0.762 states/eV/atom